Computed, not measured: crystalline Hf2CuTcSn at its relaxed geometry at the PBE level of DFT.

The space group is P4/mmm (No. 123) and the conventional cell measures 5.2493, 5.2493 and 4.4912 Å, with angles of 90.00, 90.00 and 90.00 degrees. The inequivalent atoms are Hf at (0.0000, 0.5000, 0.0000), Cu at (0.0000, 0.0000, 0.5000), Tc at (0.5000, 0.5000, 0.5000) and Sn at (0.0000, 0.0000, 0.0000).

For the total energy, the calculation gives -6.26 eV/atom. The formation energy comes out at 1.4178 eV/atom. The density of states at the Fermi level comes out at 1.083 states/eV per atom. For the total moment, the calculation gives 0.233 μB per atom.



Computed, not measured: crystalline Ti2Ga2Rh at its relaxed geometry at the PBE level of DFT.

The space group is P4/mbm (No. 127) and the conventional cell measures 6.4894, 6.4894 and 3.7265 Å, with angles of 90.00, 90.00 and 90.00 degrees. The inequivalent atoms are Ti at (0.1679, 0.3321, 0.0000), Ga at (0.1357, 0.6357, 0.5000) and Rh at (0.0000, 0.0000, 0.5000).

Its excess energy over the best structure of this formula in the dataset is 0.0296 eV/atom. For the total energy, the calculation gives -6.40 eV/atom. The formation energy comes out at -0.5606 eV/atom. The density of states at the Fermi level comes out at 0.960 states/eV per atom. For the total moment, the calculation gives 0.000 μB per atom.



Computed, not measured: crystalline SmDy6Er5 at its relaxed geometry at the PBE level of DFT.

The space group is C2/m (No. 12) and the conventional cell measures 6.1194, 10.5888 and 11.7066 Å, with angles of 90.00, 99.98 and 90.00 degrees. The inequivalent atoms are Sm at (0.0000, 0.0000, 0.0000), Dy at (0.2495, 0.5000, 0.2511), Dy at (0.2502, 0.1669, 0.2513), Er at (0.0000, 0.1669, 0.5000), Er at (0.0000, 0.3333, 0.0000) and Er at (0.0000, 0.5000, 0.5000).

For the total energy, the calculation gives -4.58 eV/atom. The formation energy comes out at 0.0184 eV/atom. The density of states at the Fermi level comes out at 1.304 states/eV per atom. For the total moment, the calculation gives 0.000 μB per atom.



Computed, not measured: crystalline GeHN2 at its relaxed geometry at the PBE level of DFT.

The space group is Fm-3m (No. 225) and the conventional cell measures 5.0123, 5.0123 and 5.0123 Å, with angles of 90.00, 90.00 and 90.00 degrees. The inequivalent atoms are Ge at (0.0000, 0.0000, 0.0000), H at (0.0000, 0.0000, 0.5000) and N at (0.2500, 0.2500, 0.2500).

Its excess energy over the best structure of this formula in the dataset is 1.2929 eV/atom. For the total energy, the calculation gives -4.41 eV/atom. The density of states at the Fermi level comes out at 0.670 states/eV per atom. For the total moment, the calculation gives 0.000 μB per atom.



Computed, not measured: crystalline Pm4Pt2I at its relaxed geometry at the PBE level of DFT.

The space group is P-1 (No. 2) and the conventional cell measures 8.9220, 8.9228 and 8.9233 Å, with angles of 119.86, 90.05 and 119.93 degrees. The inequivalent atoms are Pm at (0.1837, 0.4555, 0.2278), Pm at (0.2284, 0.5447, 0.7725), Pm at (0.2276, 0.9552, 0.1835), Pm at (0.2276, 0.9556, 0.7718), Pt at (0.0000, 0.0000, 0.0000), Pt at (0.0000, 0.5000, 0.0000), Pt at (0.0000, 0.5000, 0.5000), Pt at (0.5000, 0.0000, 0.0000) and I at (0.3751, 0.2499, 0.6241).

For the total energy, the calculation gives -5.52 eV/atom. The density of states at the Fermi level comes out at 0.682 states/eV per atom. For the total moment, the calculation gives 0.000 μB per atom.



Computed, not measured: crystalline Al4Ru2Rh at its relaxed geometry at the PBE level of DFT.

The space group is R-3m (No. 166, hexagonal axes) and the conventional cell measures 4.2328, 4.2328 and 20.2678 Å, with angles of 90.00, 90.00 and 120.00 degrees. The inequivalent atoms are Al at (0.0000, 0.0000, 0.1201), Al at (0.0000, 0.0000, 0.3722), Ru at (0.0000, 0.0000, 0.2494) and Rh at (0.0000, 0.0000, 0.5000).

For the total energy, the calculation gives -6.48 eV/atom. The formation energy comes out at -0.6402 eV/atom. The density of states at the Fermi level comes out at 0.434 states/eV per atom. For the total moment, the calculation gives 0.000 μB per atom.



Computed, not measured: crystalline TePSN2 at its relaxed geometry at the PBE level of DFT.

The space group is P4/mmm (No. 123) and the conventional cell measures 3.7047, 3.7047 and 4.5538 Å, with angles of 90.00, 90.00 and 90.00 degrees. The inequivalent atoms are Te at (0.0000, 0.0000, 0.0000), P at (0.5000, 0.5000, 0.5000), S at (0.5000, 0.5000, 0.0000) and N at (0.0000, 0.5000, 0.5000).

Its excess energy over the best structure of this formula in the dataset is 0.0861 eV/atom. For the total energy, the calculation gives -4.81 eV/atom. The density of states at the Fermi level comes out at 0.232 states/eV per atom. For the total moment, the calculation gives 0.000 μB per atom.



Computed, not measured: crystalline Na3Cu2Sn4 at its relaxed geometry at the PBE level of DFT.

The space group is C2/c (No. 15) and the conventional cell measures 14.0421, 10.3248 and 6.7280 Å, with angles of 90.00, 109.45 and 90.00 degrees. The inequivalent atoms are Na at (0.0000, 0.0762, 0.2500), Na at (0.1143, 0.3923, 0.1448), Cu at (0.2137, 0.1447, 0.4354), Sn at (0.1205, 0.2762, 0.6639) and Sn at (0.1882, 0.0936, 0.0362).

Its excess energy over the best structure of this formula in the dataset is 0.0187 eV/atom. For the total energy, the calculation gives -3.20 eV/atom. The formation energy comes out at -0.0688 eV/atom. The density of states at the Fermi level comes out at 0.417 states/eV per atom. For the total moment, the calculation gives 0.000 μB per atom.



What did the eighth record say?
Computed, not measured: crystalline Na3Cu2Sn4 at its relaxed geometry at the PBE level of DFT.

The space group is C2/c (No. 15) and the conventional cell measures 14.0421, 10.3248 and 6.7280 Å, with angles of 90.00, 109.45 and 90.00 degrees. The inequivalent atoms are Na at (0.0000, 0.0762, 0.2500), Na at (0.1143, 0.3923, 0.1448), Cu at (0.2137, 0.1447, 0.4354), Sn at (0.1205, 0.2762, 0.6639) and Sn at (0.1882, 0.0936, 0.0362).

Its excess energy over the best structure of this formula in the dataset is 0.0187 eV/atom. For the total energy, the calculation gives -3.20 eV/atom. The formation energy comes out at -0.0688 eV/atom. The density of states at the Fermi level comes out at 0.417 states/eV per atom. For the total moment, the calculation gives 0.000 μB per atom.



Question: total moment of number 1 (Hf2CuTcSn)?
Answer: 0.233 μB per atom



Question: What is the formula in the eighth record?
Answer: Na3Cu2Sn4